# 1
VASP calculation (PBE) on Li2Al3Pd2 after structural relaxation.

Space-group type: P-1
Energy of formation, eV/atom: -0.51

The structure in extended XYZ format:
```
7
Lattice="4.124 0.011 -1.145 -2.213 3.698 -0.005 -0.053 -0.039 7.732" Properties=species:S:1:pos:R:3 pbc="T T T"
Al 0.000 0.000 0.000
Al 0.295 2.723 1.071
Al 1.562 0.947 5.511
Pd -0.444 2.255 6.283
Pd 2.301 1.415 0.299
Li 1.106 3.193 3.853
Li 0.750 0.477 2.728
```

=====

# 2
VASP calculation (PBE) on TbHoSc2 after structural relaxation.

Excess energy over the best structure of this formula in the dataset, meV/atom: 4
Space-group type: R3m
Energy of formation, eV/atom: 0.05

The structure in extended XYZ format:
```
4
Lattice="-2.406 0.345 -2.434 -0.582 -2.564 -2.218 -8.440 -4.906 5.218" Properties=species:S:1:pos:R:3 pbc="T T T"
Ho -2.000 -1.484 -3.095
Tb -5.704 -3.557 0.274
Sc -6.587 -3.869 3.533
Sc -2.852 -1.778 0.137
```

=====

# 3
VASP calculation (PBE) on Tm2TlB2Rh5 after structural relaxation.

Space-group type: P4/mbm
Energy of formation, eV/atom: -0.73

The structure in extended XYZ format:
```
20
Lattice="-2.630 -1.897 0.047 2.660 -3.896 -8.394 4.966 -6.769 4.716" Properties=species:S:1:pos:R:3 pbc="T T T"
Rh 1.168 -4.333 2.381
Rh 2.751 -6.687 -4.062
Rh 5.353 -10.245 -2.079
Rh 0.015 -2.897 -4.173
Rh 3.818 -8.099 -1.339
Rh 2.709 -6.453 3.069
Rh 1.178 -4.463 -2.293
Rh 2.245 -5.875 0.430
Rh -0.357 -2.317 -1.552
Rh 2.287 -6.109 -6.700
B 6.016 -8.368 -1.073
B 3.409 -4.679 1.911
B 4.217 -5.986 -5.590
B 1.610 -2.297 -2.605
Tm 5.547 -7.784 -3.740
Tm 4.960 -6.848 1.163
Tm 2.079 -2.881 0.061
Tm 2.666 -3.816 -4.841
Tl 0.000 0.000 0.000
Tl 3.813 -5.332 -1.839
```